No. 1
HoZnGePt3 | the Alexandria database | PBE | relaxed; total energy = -64.8 eV/cell; DOS at the Fermi energy = 0.3180 states/eV/atom; ΔE_f = -3.8 eV/f.u.; M_tot = 0.00 μB per formula unit
1.0
3.407 -5.920 0.000
3.407 5.920 0.000
0.000 0.000 5.603
Ho Zn Ge Pt
2 2 2 6
direct
0.196 0.804 0.750 Ho
0.804 0.196 0.250 Ho
0.441 0.559 0.750 Zn
0.559 0.441 0.250 Zn
0.131 0.869 0.250 Ge
0.869 0.131 0.750 Ge
0.209 0.209 0.000 Pt
0.209 0.209 0.500 Pt
0.333 0.667 0.250 Pt
0.667 0.333 0.750 Pt
0.791 0.791 0.000 Pt
0.791 0.791 0.500 Pt

No. 2
KBaW2 | the Alexandria database | PBE | relaxed; total energy = -21.6 eV/cell; DOS at the Fermi energy = 1.2252 states/eV/atom; ΔE_f = 7.3 eV/f.u.; relative energy among the computed polymorphs = 928 meV/atom; M_tot = 0.00 μB per formula unit
1.0
4.693 0.000 0.000
0.000 4.693 0.000
0.000 0.000 7.499
K Ba W
1 1 2
direct
0.000 0.000 0.000 K
0.000 0.000 0.500 Ba
0.500 0.500 0.357 W
0.500 0.500 0.643 W

No. 3
ZrRh | the Alexandria database | PBE | relaxed; total energy = -101.7 eV/cell; DOS at the Fermi energy = 0.8079 states/eV/atom; ΔE_f = -1.0 eV/f.u.; M_tot = 0.00 μB per formula unit
1.0
3.187 0.000 0.000
0.000 15.690 0.000
0.000 0.000 4.541
Zr Rh
6 6
direct
0.250 0.088 0.123 Zr
0.250 0.412 0.123 Zr
0.250 0.750 0.280 Zr
0.750 0.250 0.720 Zr
0.750 0.588 0.877 Zr
0.750 0.912 0.877 Zr
0.250 0.250 0.220 Rh
0.250 0.572 0.366 Rh
0.250 0.928 0.366 Rh
0.750 0.072 0.634 Rh
0.750 0.428 0.634 Rh
0.750 0.750 0.780 Rh